[1]
Below is a relaxed structure of Cd2NiCl, with properties calculated at the PBE level.

abc: 4.8396 4.8396 4.8396
angles: 60.00 60.00 60.00
With the nearest neighbours (Å) after each atom.
Atoms (fractional coordinates):
Cd: 0.0000 0.0000 0.0000  4 Cd 2.96, 4 Ni 2.96
Cd: 0.2500 0.2500 0.2500  4 Cd 2.96, 4 Cl 2.96
Cl: 0.5000 0.5000 0.5000  4 Ni 2.96, 4 Cd 2.96
Ni: 0.7500 0.7500 0.7500  4 Cl 2.96, 4 Cd 2.96

Output
- excess energy over the best structure of this formula in the dataset (meV/atom) = 535.8
- formation energy without anion corrections (eV/f.u.) = 1.4
- crystal system = cubic

***

[2]
Below is a relaxed structure of Be3Ru2, with properties calculated at the PBE level.

abc: 3.8614 3.8614 4.4352
angles: 90.00 90.00 120.00
With the nearest neighbours (Å) after each atom.
Atoms (fractional coordinates):
Be: 0.0000 0.0000 0.0000  6 Ru 2.46, 6 Be 2.52
Be: 0.6667 0.3333 0.7345  5 Ru 2.22-2.23
Be: 0.3333 0.6667 0.2655  5 Ru 2.22-2.23
Ru: 0.6667 0.3333 0.2342  8 Be 2.22-2.46
Ru: 0.3333 0.6667 0.7658  8 Be 2.22-2.46

Output
- excess energy over the best structure of this formula in the dataset (meV/atom) = 467.8
- crystal system = trigonal

***

[3]
Below is a relaxed structure of Cs2TaTcBr6, with properties calculated at the PBE level.

abc: 7.7548 7.7548 7.7585
angles: 60.02 60.02 90.00
With the nearest neighbours (Å) after each atom.
Atoms (fractional coordinates):
Cs: 0.7500 0.2500 0.5000  12 Br 3.88
Cs: 0.2500 0.7500 0.5000  12 Br 3.88
Tc: 0.5000 0.5000 0.0000  6 Br 2.81
Br: 0.2437 0.2437 0.5127  1 Ta 2.67, 1 Tc 2.81
Br: 0.7563 0.7563 0.4873  1 Ta 2.67, 1 Tc 2.81
Br: 0.2438 0.2438 0.0000  1 Ta 2.67, 1 Tc 2.81
Br: 0.7562 0.7562 0.0000  1 Ta 2.67, 1 Tc 2.81
Br: 0.7562 0.2438 0.0000  1 Ta 2.67, 1 Tc 2.81
Br: 0.2438 0.7562 0.0000  1 Ta 2.67, 1 Tc 2.81
Ta: 0.0000 0.0000 0.0000  6 Br 2.67

Output
- formation energy without anion corrections (eV/f.u.) = -6.7
- crystal system = cubic